Version one
Material: ZrTi2CuH
Method: DFT, GGA-PBE
State: optimized geometry

Values from the calculation:
Volume   14.190 Å³ per atom
Spin magnetization   0.0 μB per cell

a b c (Å): 4.064 4.064 4.295
angles (deg): 90.00 90.00 90.00
Element x y z (fractional)
Zr  0.000  0.000  0.000
Ti  0.000  0.500  0.500
Ti  0.500  0.000  0.500
Cu  0.500  0.500  0.000
H  0.000  0.000  0.500



Version two
Material: ZrTi2CuH
Method: DFT, GGA-PBE
State: optimized geometry

Values from the calculation:
Volume   13.996 Å³ per atom
Spin magnetization   0.0 μB per cell

a b c (Å): 4.140 4.140 4.083
angles (deg): 90.00 90.00 90.00
Element x y z (fractional)
Zr  0.000  0.000  0.000
Ti  0.000  0.500  0.500
Ti  0.500  0.000  0.500
Cu  0.500  0.500  0.000
H  0.500  0.500  0.500



The calculated energies rank the structures as follows, beginning with the most stable: version one, version two.